[1]
ThMg2NiGe2, optimized geometry, DFT GGA-PBE; calculated volume = 23.2 A^3/atom; DOS(E_F) = 0.891 states/eV/atom; SG = No. 139; energy relative to the elements = 11.56 kJ/mol of atoms; size of the total moment = 0.00 μB per cell; total energy = -4.15 eV/atom
1.0
-5.050 0.077 0.947
-0.938 -1.230 -4.900
3.151 -4.536 3.230
Mg Th Ge Ni
2 1 2 1
direct
0.750 0.250 0.500
0.250 0.750 0.500
0.500 0.500 0.000
0.790 0.790 0.580
0.210 0.210 0.420
0.000 0.000 0.000


[2]
Th2MgNi3Ge4, optimized geometry, DFT GGA-PBE; calculated volume = 17.9 A^3/atom; DOS(E_F) = 0.395 states/eV/atom; SG = No. 115; energy relative to the elements = -63.20 kJ/mol of atoms; size of the total moment = 0.00 μB per cell; total energy = -5.88 eV/atom
1.0
-2.873 1.181 2.809
0.611 -3.558 2.122
7.290 4.556 5.540
Ni Th Mg Ge
3 2 1 4
direct
0.000 0.000 0.500
0.000 0.500 0.118
0.500 0.000 0.882
0.500 0.000 0.236
0.000 0.500 0.764
0.500 0.500 0.500
0.000 0.500 0.351
0.000 0.000 0.000
0.500 0.000 0.649
0.500 0.500 0.000


[3]
ThMgNi5Ge2, optimized geometry, DFT GGA-PBE; calculated volume = 14.9 A^3/atom; DOS(E_F) = 0.744 states/eV/atom; SG = No. 123; energy relative to the elements = -42.43 kJ/mol of atoms; size of the total moment = 0.00 μB per cell; total energy = -5.68 eV/atom
1.0
-1.430 3.240 2.216
-3.702 -0.329 -1.907
-2.404 -4.823 5.499
Th Ni Ge Mg
1 5 2 1
direct
0.000 0.000 0.000
0.500 0.000 0.306
0.500 0.500 0.500
0.000 0.500 0.694
0.000 0.500 0.306
0.500 0.000 0.694
0.500 0.500 0.831
0.500 0.500 0.169
0.000 0.000 0.500


[4]
Th2MgNi4Ge3, optimized geometry, DFT GGA-PBE; calculated volume = 17.3 A^3/atom; DOS(E_F) = 0.735 states/eV/atom; SG = No. 115; energy relative to the elements = -60.81 kJ/mol of atoms; size of the total moment = 0.00 μB per cell; total energy = -5.97 eV/atom
1.0
4.178 0.000 0.000
0.000 4.178 0.000
0.000 0.000 9.893
Ni Mg Ge Th
4 1 3 2
direct
0.500 0.000 0.638
0.500 0.500 0.000
0.000 0.500 0.362
0.000 0.000 0.000
0.500 0.500 0.500
0.500 0.000 0.875
0.000 0.500 0.125
0.000 0.000 0.500
0.000 0.500 0.765
0.500 0.000 0.235


[5]
Tm2MgNi4Ge3, optimized geometry, DFT GGA-PBE; calculated volume = 16.2 A^3/atom; DOS(E_F) = 0.667 states/eV/atom; SG = No. 115; energy relative to the elements = -57.50 kJ/mol of atoms; size of the total moment = 0.00 μB per cell; total energy = -5.35 eV/atom
1.0
-0.003 1.509 3.725
-3.637 -1.587 0.640
4.278 -8.426 3.415
Tm Ge Ni Mg
2 3 4 1
direct
0.500 0.000 0.239
0.000 0.500 0.761
0.500 0.000 0.873
0.000 0.000 0.500
0.000 0.500 0.127
0.000 0.500 0.356
0.500 0.000 0.644
0.500 0.500 0.000
0.000 0.000 0.000
0.500 0.500 0.500


[6]
TmMgNiGe2, optimized geometry, DFT GGA-PBE; calculated volume = 17.9 A^3/atom; DOS(E_F) = 0.508 states/eV/atom; SG = No. 51; energy relative to the elements = -40.79 kJ/mol of atoms; size of the total moment = 0.00 μB per cell; total energy = -4.64 eV/atom
1.0
5.730 0.000 0.000
0.000 5.438 0.000
0.000 0.000 5.746
Ge Ni Mg Tm
4 2 2 2
direct
0.759 0.250 0.728
0.759 0.250 0.272
0.241 0.750 0.728
0.241 0.750 0.272
0.000 0.500 0.000
0.000 0.000 0.000
0.622 0.750 0.000
0.378 0.250 0.000
0.234 0.250 0.500
0.766 0.750 0.500


[7]
MgU2Ni4Ge3, optimized geometry, DFT GGA-PBE; calculated volume = 16.3 A^3/atom; DOS(E_F) = 1.899 states/eV/atom; SG = No. 115; energy relative to the elements = -30.80 kJ/mol of atoms; size of the total moment = 4.06 μB per cell; total energy = -6.43 eV/atom
1.0
3.973 0.000 0.000
0.000 3.973 0.000
0.000 0.000 10.325
Mg Ni Ge U
1 4 3 2
direct
0.500 0.500 0.500
0.000 0.000 0.000
0.000 0.500 0.351
0.500 0.000 0.649
0.500 0.500 0.000
0.000 0.000 0.500
0.500 0.000 0.874
0.000 0.500 0.126
0.000 0.500 0.760
0.500 0.000 0.240


[8]
MgVNiGe2, optimized geometry, DFT GGA-PBE; calculated volume = 18.5 A^3/atom; DOS(E_F) = 1.172 states/eV/atom; SG = No. 123; energy relative to the elements = 56.42 kJ/mol of atoms; size of the total moment = 0.07 μB per cell; total energy = -4.56 eV/atom
1.0
-0.045 -2.259 3.880
2.785 -3.161 -1.807
3.566 2.339 1.403
Mg Ni V Ge
1 1 1 2
direct
0.000 0.500 0.000
0.000 0.000 0.000
0.500 0.500 0.500
0.500 0.000 0.000
0.000 0.000 0.500


[9]
Y2MgNi4Ge3, optimized geometry, DFT GGA-PBE; calculated volume = 16.6 A^3/atom; DOS(E_F) = 0.682 states/eV/atom; SG = No. 115; energy relative to the elements = -59.38 kJ/mol of atoms; size of the total moment = 0.00 μB per cell; total energy = -5.77 eV/atom
1.0
4.069 0.000 0.000
0.000 4.069 0.000
0.000 0.000 9.997
Mg Ge Y Ni
1 3 2 4
direct
0.500 0.500 0.500
0.000 0.500 0.126
0.000 0.000 0.500
0.500 0.000 0.874
0.500 0.000 0.239
0.000 0.500 0.761
0.000 0.000 0.000
0.500 0.000 0.642
0.000 0.500 0.358
0.500 0.500 0.000


[10]
Mg2ZnNi4Ge3, optimized geometry, DFT GGA-PBE; calculated volume = 15.0 A^3/atom; DOS(E_F) = 0.547 states/eV/atom; SG = No. 115; energy relative to the elements = -24.79 kJ/mol of atoms; size of the total moment = 0.00 μB per cell; total energy = -4.40 eV/atom
1.0
-3.133 -0.504 1.956
-1.430 -1.996 -2.805
4.144 -9.024 4.311
Mg Ni Ge Zn
2 4 3 1
direct
0.000 0.500 0.740
0.500 0.000 0.260
0.500 0.500 0.000
0.500 0.000 0.650
0.000 0.000 0.000
0.000 0.500 0.350
0.000 0.500 0.138
0.000 0.000 0.500
0.500 0.000 0.862
0.500 0.500 0.500


[11]
Mg2Zn2Ni5Ge, optimized geometry, DFT GGA-PBE; calculated volume = 13.7 A^3/atom; DOS(E_F) = 0.472 states/eV/atom; SG = No. 127; energy relative to the elements = -17.24 kJ/mol of atoms; size of the total moment = 0.00 μB per cell; total energy = -4.10 eV/atom
1.0
3.411 0.000 0.000
0.000 8.946 0.000
0.000 0.000 8.946
Ni Mg Zn Ge
10 4 4 2
direct
0.500 0.000 0.500
0.500 0.192 0.066
0.500 0.308 0.566
0.500 0.934 0.192
0.500 0.566 0.692
0.500 0.066 0.808
0.500 0.692 0.434
0.500 0.434 0.308
0.500 0.808 0.934
0.500 0.500 0.000
0.000 0.671 0.171
0.000 0.829 0.671
0.000 0.329 0.829
0.000 0.171 0.329
0.000 0.872 0.372
0.000 0.628 0.872
0.000 0.372 0.128
0.000 0.128 0.628
0.000 0.500 0.500
0.000 0.000 0.000


[12]
MgZn4Ni2Ge, optimized geometry, DFT GGA-PBE; calculated volume = 16.2 A^3/atom; DOS(E_F) = 0.720 states/eV/atom; SG = No. 123; energy relative to the elements = 8.00 kJ/mol of atoms; size of the total moment = 0.00 μB per cell; total energy = -2.78 eV/atom
1.0
-2.656 -1.978 1.071
-1.016 -0.423 -3.302
6.174 -8.714 -0.785
Zn Ni Ge Mg
4 2 1 1
direct
0.000 0.500 0.781
0.500 0.000 0.781
0.000 0.500 0.219
0.500 0.000 0.219
0.500 0.500 0.389
0.500 0.500 0.611
0.000 0.000 0.500
0.000 0.000 0.000


[13]
Mg2ZnNi5Ge2, optimized geometry, DFT GGA-PBE; calculated volume = 13.9 A^3/atom; DOS(E_F) = 0.712 states/eV/atom; SG = No. 127; energy relative to the elements = -21.96 kJ/mol of atoms; size of the total moment = 0.00 μB per cell; total energy = -4.49 eV/atom
1.0
-2.407 -2.256 -0.006
5.342 -5.685 -4.814
3.282 -3.522 7.801
Ni Ge Mg Zn
10 4 4 2
direct
0.500 0.700 0.440
0.500 0.560 0.700
0.500 0.300 0.560
0.500 0.940 0.200
0.500 0.500 0.000
0.500 0.000 0.500
0.500 0.060 0.800
0.500 0.800 0.940
0.500 0.440 0.300
0.500 0.200 0.060
0.000 0.129 0.629
0.000 0.871 0.371
0.000 0.629 0.871
0.000 0.371 0.129
0.000 0.829 0.671
0.000 0.329 0.829
0.000 0.671 0.171
0.000 0.171 0.329
0.000 0.500 0.500
0.000 0.000 0.000


[14]
MgNpGePt, optimized geometry, DFT GGA-PBE; calculated volume = 19.7 A^3/atom; DOS(E_F) = 0.899 states/eV/atom; SG = No. 216; energy relative to the elements = -38.88 kJ/mol of atoms; size of the total moment = 3.56 μB per cell; total energy = -6.70 eV/atom
1.0
4.809 0.000 0.000
2.405 4.165 0.000
2.405 1.388 3.927
Ge Np Mg Pt
1 1 1 1
direct
0.250 0.250 0.250
0.000 0.000 0.000
0.500 0.500 0.500
0.750 0.750 0.750


[15]
MgNp2Ge3Pt4, optimized geometry, DFT GGA-PBE; calculated volume = 19.0 A^3/atom; DOS(E_F) = 1.816 states/eV/atom; SG = No. 115; energy relative to the elements = -54.25 kJ/mol of atoms; size of the total moment = 8.28 μB per cell; total energy = -7.11 eV/atom
1.0
-0.903 -2.763 2.890
1.711 -2.945 -2.281
9.976 1.942 4.974
Pt Mg Ge Np
4 1 3 2
direct
0.000 0.000 0.000
0.000 0.500 0.351
0.500 0.000 0.649
0.500 0.500 0.000
0.500 0.500 0.500
0.000 0.000 0.500
0.500 0.000 0.866
0.000 0.500 0.134
0.500 0.000 0.244
0.000 0.500 0.756


[16]
MgNpZnGe, optimized geometry, DFT GGA-PBE; calculated volume = 20.2 A^3/atom; DOS(E_F) = 1.825 states/eV/atom; SG = No. 216; energy relative to the elements = -4.32 kJ/mol of atoms; size of the total moment = 4.38 μB per cell; total energy = -5.15 eV/atom
1.0
-3.755 1.804 2.491
-0.739 -1.361 4.600
0.772 3.145 3.615
Ge Np Mg Zn
1 1 1 1
direct
0.250 0.250 0.250
0.000 0.000 0.000
0.500 0.500 0.500
0.750 0.750 0.750


[17]
MgGe3O, optimized geometry, DFT GGA-PBE; calculated volume = 24.1 A^3/atom; DOS(E_F) = 0.499 states/eV/atom; SG = No. 221; E_form (uncorrected) = 1.0807 eV/atom; size of the total moment = 0.00 μB per cell; total energy = -3.00 eV/atom
1.0
-1.778 0.605 -4.571
-3.834 -2.917 1.105
-2.563 3.943 1.519
Ge Mg O
3 1 1
direct
0.000 0.500 0.000
0.000 0.000 0.500
0.500 0.000 0.000
0.000 0.000 0.000
0.500 0.500 0.500


[18]
Mg6GeO8, optimized geometry, DFT GGA-PBE; calculated volume = 10.2 A^3/atom; DOS(E_F) = 0.000 states/eV/atom; SG = No. 225; E_form (uncorrected) = -2.5265 eV/atom; size of the total moment = 0.00 μB per cell; total energy = -6.12 eV/atom
1.0
5.199 0.000 3.002
1.733 4.902 3.002
0.000 0.000 6.003
O Mg Ge
8 6 1
direct
0.228 0.772 0.772
0.228 0.772 0.228
0.228 0.228 0.772
0.750 0.750 0.750
0.772 0.228 0.228
0.772 0.772 0.228
0.772 0.228 0.772
0.250 0.250 0.250
0.000 0.000 0.500
0.500 0.500 0.000
0.500 0.000 0.000
0.000 0.500 0.500
0.500 0.000 0.500
0.000 0.500 0.000
0.000 0.000 0.000


[19]
Mg2GeO4, optimized geometry, DFT GGA-PBE; calculated volume = 11.5 A^3/atom; DOS(E_F) = 0.000 states/eV/atom; SG = No. 15; E_form (uncorrected) = -2.2358 eV/atom; size of the total moment = 0.00 μB per cell; total energy = -6.18 eV/atom
1.0
5.569 0.009 -1.366
-2.930 4.736 -1.366
-0.127 -0.228 6.235
O Mg Ge
8 4 2
direct
0.322 0.827 0.584
0.756 0.761 0.086
0.678 0.173 0.416
0.239 0.244 0.414
0.761 0.756 0.586
0.827 0.322 0.084
0.173 0.678 0.916
0.244 0.239 0.914
0.569 0.431 0.250
0.431 0.569 0.750
0.820 0.180 0.750
0.180 0.820 0.250
0.125 0.875 0.750
0.875 0.125 0.250


[20]
Mg2GeO4, optimized geometry, DFT GGA-PBE; calculated volume = 11.3 A^3/atom; DOS(E_F) = 0.000 states/eV/atom; SG = No. 62; E_form (uncorrected) = -2.3327 eV/atom; size of the total moment = 0.00 μB per cell; total energy = -6.28 eV/atom
1.0
4.970 0.000 0.000
0.000 6.103 0.000
0.000 0.000 10.432
Mg Ge O
8 4 16
direct
0.500 0.000 0.500
0.000 0.000 0.000
0.507 0.250 0.224
0.007 0.750 0.276
0.500 0.500 0.500
0.493 0.750 0.776
0.000 0.500 0.000
0.993 0.250 0.724
0.436 0.250 0.906
0.564 0.750 0.094
0.936 0.750 0.594
0.064 0.250 0.406
0.270 0.250 0.060
0.233 0.479 0.336
0.267 0.479 0.836
0.767 0.979 0.664
0.733 0.979 0.164
0.767 0.521 0.664
0.233 0.021 0.336
0.211 0.750 0.092
0.267 0.021 0.836
0.230 0.250 0.560
0.789 0.250 0.908
0.770 0.750 0.440
0.711 0.250 0.408
0.733 0.521 0.164
0.289 0.750 0.592
0.730 0.750 0.940


[21]
Mg2GeO, optimized geometry, DFT GGA-PBE; calculated volume = 18.1 A^3/atom; DOS(E_F) = 0.285 states/eV/atom; SG = No. 122; E_form (uncorrected) = -1.1242 eV/atom; size of the total moment = 0.00 μB per cell; total energy = -4.32 eV/atom
1.0
-0.507 5.661 1.680
-5.905 -0.489 -0.133
-3.198 1.415 4.719
O Mg Ge
2 4 2
direct
0.250 0.750 0.500
0.500 0.500 0.000
0.875 0.762 0.750
0.512 0.125 0.250
0.238 0.625 0.250
0.375 0.488 0.750
0.000 0.000 0.000
0.750 0.250 0.500